(1)
{"formula": "CeSm2Eu", "functional": "PBE-GGA", "state": "optimized geometry", "cell": [[3.624, 0.000, 0.000], [0.000, 3.624, 0.000], [0.000, 0.000, 10.383]], "species": ["Eu", "Ce", "Sm", "Sm"], "fractional_positions": [[0.500, 0.500, 0.500], [0.500, 0.500, 0.000], [0.000, 0.000, 0.773], [0.000, 0.000, 0.227]], "relative_energy_mev_per_atom": 0, "magnetic_moment_mub_per_fu": 7.386, "dft_energy_ev_per_fu": -25.3, "ef_ev_per_atom": 0.0814}


(2)
{"formula": "LaScGaCo2", "functional": "PBE-GGA", "state": "optimized geometry", "cell": [[4.593, 0.000, 0.000], [0.000, 4.903, 0.000], [0.000, 0.000, 4.593]], "species": ["Sc", "Co", "Co", "Ga", "La"], "fractional_positions": [[0.000, 0.500, 0.000], [0.000, 0.000, 0.500], [0.500, 0.000, 0.000], [0.000, 0.000, 0.000], [0.500, 0.500, 0.500]], "magnetic_moment_mub_per_fu": 1.636, "dft_energy_ev_per_fu": -26.7, "ef_ev_per_atom": 0.3550}


(3)
{"formula": "SiSbNO2", "functional": "PBE-GGA", "state": "optimized geometry", "cell": [[-1.214, 1.313, 3.528], [3.207, -1.579, 1.692], [2.028, 3.479, -0.597]], "species": ["Sb", "Si", "O", "O", "N"], "fractional_positions": [[0.000, 0.000, 0.000], [0.500, 0.500, 0.500], [0.000, 0.500, 0.000], [0.500, 0.000, 0.000], [0.000, 0.000, 0.500]], "magnetic_moment_mub_per_fu": 0.000, "dft_energy_ev_per_fu": -27.7, "formation_energy_uncorrected_ev_per_atom": 0.02}


(4)
{"formula": "Ag7SbAu2", "functional": "PBE-GGA", "state": "optimized geometry", "cell": [[-0.329, -1.329, -4.407], [7.625, 1.754, -1.098], [-2.397, -7.157, 2.337]], "species": ["Ag", "Ag", "Ag", "Ag", "Ag", "Ag", "Ag", "Sb", "Au", "Au"], "fractional_positions": [[0.000, 0.802, 0.198], [0.000, 0.198, 0.802], [0.500, 0.077, 0.290], [0.500, 0.923, 0.710], [0.500, 0.290, 0.077], [0.500, 0.710, 0.923], [0.500, 0.500, 0.500], [0.000, 0.000, 0.000], [0.500, 0.701, 0.299], [0.500, 0.299, 0.701]], "magnetic_moment_mub_per_fu": 0.000, "dft_energy_ev_per_fu": -27.8, "formation_energy_uncorrected_ev_per_atom": 0.28}